A geometry-optimized MnFeAs2O6 structure, computed with PBE+U.

Values from the calculation:
Calculated total energy = -6.49 eV/atom
Theoretical density = 4.3 Mg/m³

Cell lengths 12.1421, 8.6225, 5.2590 Å; angles 90.00, 95.37, 90.00 degrees
Last column: nearest neighbours and their distance in Å.
Space group C2/c (No. 15)
Inequivalent atoms, fractional coordinates:
Mn1 0.0000 0.2346 0.2500 (multiplicity 4)  4 O 1.92-2.09
Fe1 0.0000 0.4195 0.7500 (multiplicity 4)  6 O 2.00-2.09
As1 0.1790 0.0997 0.7743 (multiplicity 8)  2 O 1.74-1.91
O1 0.0785 0.3994 0.4328 (multiplicity 8)  1 Mn 1.92, 2 Fe 2.00-2.02
O2 0.1032 0.2436 0.9099 (multiplicity 8)  1 As 1.74
O3 0.1061 0.0724 0.4396 (multiplicity 8)  2 As 1.91-1.97, 1 Mn 2.09